No. 1
In2Pd8Pb | PBE-GGA | optimized geometry

abc: 7.584 7.584 7.584
angles: 148.08 121.11 68.57
Fractional coordinates of all 11 atoms:
In: 0.171 0.171 0.000
In: 0.829 0.829 0.000
Pd: 0.077 0.335 0.742
Pd: 0.228 0.000 0.228
Pd: 0.335 0.835 0.500
Pd: 0.407 0.665 0.742
Pd: 0.593 0.335 0.258
Pd: 0.665 0.165 0.500
Pd: 0.772 0.000 0.772
Pd: 0.923 0.665 0.258
Pb: 0.500 0.500 0.000

Values from the calculation:
**E**: -54.50 eV per cell
**DOS(E_F)**: 3.4 states/eV per cell
**Energy above the most stable polymorph in this dataset**: 0.019 eV per atom
**Space group**: Immm (71)
**ΔE_f**: -0.34 eV per atom

***

No. 2
InPd6Pb2 | PBE-GGA | optimized geometry

abc: 8.107 8.107 3.259
angles: 101.47 101.47 56.24
Fractional coordinates of all 9 atoms:
In: 0.000 0.000 0.000
Pd: 0.030 0.637 0.834
Pd: 0.289 0.711 0.500
Pd: 0.363 0.970 0.166
Pd: 0.637 0.030 0.834
Pd: 0.711 0.289 0.500
Pd: 0.970 0.363 0.166
Pb: 0.336 0.336 0.337
Pb: 0.664 0.664 0.663

Values from the calculation:
**E**: -43.25 eV per cell
**DOS(E_F)**: 3.6 states/eV per cell
**Energy above the most stable polymorph in this dataset**: 0.077 eV per atom
**Space group**: C2/m (12)
**ΔE_f**: -0.22 eV per atom